[1]
Density functional theory data (PBE) for an optimized crystal structure of NaCu2TeO6.

Calculated values
As for the symmetry: C2/c (15). Its electronic total energy is -100.5 eV for the cell shown. For the total magnetization, the calculation gives 0.00 μB/f.u. The calculation puts the raw formation energy at -0.784 eV per atom.

Cell lengths 6.507, 6.507, 6.069 Å; angles 96.82, 96.82, 85.76 degrees
Atoms (fractional coordinates):
Na1 0.099 0.901 0.750
Na2 0.901 0.099 0.250
Cu1 0.178 0.334 0.951
Cu2 0.334 0.178 0.451
Cu3 0.666 0.822 0.549
Cu4 0.822 0.666 0.049
Te1 0.270 0.730 0.250
Te2 0.730 0.270 0.750
O1 0.019 0.242 0.671
O2 0.134 0.647 0.954
O3 0.242 0.019 0.171
O4 0.291 0.420 0.256
O5 0.353 0.866 0.546
O6 0.420 0.291 0.756
O7 0.580 0.709 0.244
O8 0.647 0.134 0.454
O9 0.709 0.580 0.744
O10 0.758 0.981 0.829
O11 0.866 0.353 0.046
O12 0.981 0.758 0.329



[2]
Density functional theory data (PBE) for an optimized crystal structure of TaHg2Sb.

Calculated values
As for the symmetry: R-3m (166). Its electronic total energy is -44.7 eV for the cell shown. For the total magnetization, the calculation gives 0.00 μB/f.u. The calculation puts the raw formation energy at 0.422 eV per atom.

Cell lengths 3.257, 3.257, 29.220 Å; angles 90.00, 90.00, 120.00 degrees
Atoms (fractional coordinates):
Ta1 0.000 0.000 0.000
Ta2 0.333 0.667 0.667
Ta3 0.667 0.333 0.333
Hg1 0.000 0.000 0.255
Hg2 0.000 0.000 0.745
Hg3 0.333 0.667 0.412
Hg4 0.333 0.667 0.921
Hg5 0.667 0.333 0.079
Hg6 0.667 0.333 0.588
Sb1 0.000 0.000 0.500
Sb2 0.333 0.667 0.167
Sb3 0.667 0.333 0.833



Please write out number 1 again, unchanged.
Density functional theory data (PBE) for an optimized crystal structure of NaCu2TeO6.

Calculated values
As for the symmetry: C2/c (15). Its electronic total energy is -100.5 eV for the cell shown. For the total magnetization, the calculation gives 0.00 μB/f.u. The calculation puts the raw formation energy at -0.784 eV per atom.

Cell lengths 6.507, 6.507, 6.069 Å; angles 96.82, 96.82, 85.76 degrees
Atoms (fractional coordinates):
Na1 0.099 0.901 0.750
Na2 0.901 0.099 0.250
Cu1 0.178 0.334 0.951
Cu2 0.334 0.178 0.451
Cu3 0.666 0.822 0.549
Cu4 0.822 0.666 0.049
Te1 0.270 0.730 0.250
Te2 0.730 0.270 0.750
O1 0.019 0.242 0.671
O2 0.134 0.647 0.954
O3 0.242 0.019 0.171
O4 0.291 0.420 0.256
O5 0.353 0.866 0.546
O6 0.420 0.291 0.756
O7 0.580 0.709 0.244
O8 0.647 0.134 0.454
O9 0.709 0.580 0.744
O10 0.758 0.981 0.829
O11 0.866 0.353 0.046
O12 0.981 0.758 0.329